Entry from the Alexandria database: a relaxed Th2Ge3Ir6 crystal (PBE).

For the volume, the calculation gives 18.32 A^3/atom. The space group is P-62m (189). The calculation puts the total moment at 0.000 μB per atom. For the total DFT energy (no corrections), the calculation gives -8.05 eV per atom. The density of states at the Fermi level comes out at 1.27 states/eV/cell. The formation energy is -6.71 eV per formula unit.

Lattice parameters (Å, degrees): 4.4915 7.1980 7.1980 120.00 90.00 90.00
Element x y z (fractional)
Th: 0.0000 0.6667 0.3333
Th: 0.0000 0.3333 0.6667
Ge: 0.5000 0.3988 0.3988
Ge: 0.5000 0.6012 0.0000
Ge: 0.5000 0.0000 0.6012
Ir: 0.5000 0.7446 0.7446
Ir: 0.5000 0.0000 0.2554
Ir: 0.0000 0.2228 0.2228
Ir: 0.0000 0.7772 0.0000
Ir: 0.5000 0.2554 0.0000
Ir: 0.0000 0.0000 0.7772